VASP calculation (PBE-GGA) on a geometry-optimized CaGdMgAl structure.

extended XYZ file:
```
4
Lattice="0.000 3.750 3.750 3.750 0.000 3.750 3.750 3.750 0.000" Properties=species:S:1:pos:R:3 pbc="T T T"
Ca 0.000 0.000 0.000
Gd 3.750 3.750 3.750
Mg 1.875 1.875 1.875
Al 5.625 5.625 5.625
```

Results
SG   F-43m, No. 216
DFT formation energy   -0.2084 eV per atom
Final energy   -5.56 eV/atom

=====

VASP calculation (PBE-GGA) on a geometry-optimized NaCaGdAl structure.

extended XYZ file:
```
4
Lattice="0.000 3.829 3.829 3.829 0.000 3.829 3.829 3.829 0.000" Properties=species:S:1:pos:R:3 pbc="T T T"
Na 0.000 0.000 0.000
Ca 5.744 5.744 5.744
Gd 1.915 1.915 1.915
Al 3.829 3.829 3.829
```

Results
SG   F-43m, No. 216
DFT formation energy   -0.0400 eV per atom
Final energy   -5.33 eV/atom

=====

VASP calculation (PBE-GGA) on a geometry-optimized CaGdAlPb structure.

extended XYZ file:
```
4
Lattice="0.000 3.798 3.798 3.798 0.000 3.798 3.798 3.798 0.000" Properties=species:S:1:pos:R:3 pbc="T T T"
Ca 0.000 0.000 0.000
Gd 3.798 3.798 3.798
Al 5.697 5.697 5.697
Pb 1.899 1.899 1.899
```

Results
SG   F-43m, No. 216
DFT formation energy   -0.3368 eV per atom
Final energy   -6.22 eV/atom

=====

VASP calculation (PBE-GGA) on a geometry-optimized CaGdAlPd structure.

extended XYZ file:
```
4
Lattice="0.000 3.610 3.610 3.610 0.000 3.610 3.610 3.610 0.000" Properties=species:S:1:pos:R:3 pbc="T T T"
Ca 0.000 0.000 0.000
Gd 3.610 3.610 3.610
Al 1.805 1.805 1.805
Pd 5.416 5.416 5.416
```

Results
SG   F-43m, No. 216
DFT formation energy   -0.4678 eV per atom
Final energy   -6.72 eV/atom

=====

| no. | magnetization (Bohr magnetons per cell) |
| --- | --- |
| 1 | 7.3 |
| 2 | 7.4 |
| 3 | 7.0 |
| 4 | 7.1 |